1.
TlMoIr2: relaxed, GGA-PBE.

The structure in extended XYZ format:
```
4
Lattice="-2.8983 -3.0855 1.2427 0.7370 -1.6225 -2.3097 3.3523 -1.5487 3.9730" Properties=species:S:1:pos:R:3 pbc="T T T"
Ir 3.3194 -1.6002 3.7683
Ir -0.3680 -2.3010 1.2602
Mo 2.1027 -1.9809 -0.0144
Tl 1.5338 -3.5089 2.6965
```

Magnetization (μB per atom): 0.000
SG: Pm
Formation energy from the elements (eV/atom): 0.373
Offset from the most stable computed form (eV/f.u.): 1.138
Theoretical density (g/cm3): 16.9

=====

2.
Zn2TcNi2: relaxed, GGA-PBE.

The structure in extended XYZ format:
```
10
Lattice="-0.7764 3.9086 -5.8090 0.9723 -5.7277 -3.9840 -2.5385 -0.4543 0.0336" Properties=species:S:1:pos:R:3 pbc="T T T"
Ni 0.5599 -3.5485 -5.6775
Ni -0.0740 -0.1468 -7.5753
Ni -0.3640 1.7294 -4.1154
Ni 0.2699 -1.6723 -2.2177
Zn -0.7492 -3.4061 -3.6712
Zn -0.9880 -2.3317 -7.1877
Zn -1.5935 1.1327 -6.0881
Zn -1.3546 0.0583 -2.5716
Tc 0.0000 0.0000 0.0000
Tc 0.0979 -0.9095 -4.8965
```

Magnetization (μB per atom): 0.000
SG: P4/mbm
Formation energy from the elements (eV/atom): 0.078
Offset from the most stable computed form (eV/f.u.): 0.219
Theoretical density (g/cm3): 9.0

=====

3.
SmP4HO12: relaxed, GGA-PBE.

The structure in extended XYZ format:
```
36
Lattice="-0.7597 -0.4602 -7.2593 -3.7808 -7.2539 3.1956 -5.3894 6.2496 3.6301" Properties=species:S:1:pos:R:3 pbc="T T T"
Sm -2.4770 -0.3930 1.1316
Sm -7.4529 -1.0715 -1.5652
P -4.6730 1.2329 -1.3866
P -5.2569 -2.6975 0.9530
P -4.9620 1.3692 3.1329
P -4.9680 -2.8337 -3.5665
P -5.6431 4.1845 2.3293
P -4.2869 -5.6491 -2.7629
P -5.5376 4.0602 -0.6751
P -4.3924 -5.5247 0.2415
H -7.6686 -1.9586 1.7817
H -2.2614 0.4940 -2.2154
O -5.9359 0.6000 -0.8993
O -3.9940 -2.0646 0.4657
O -3.3374 0.6637 -0.9740
O -6.5925 -2.1283 0.5403
O -4.6243 2.7945 -0.9787
O -5.3056 -4.2590 0.5451
O -4.6368 1.3257 -2.9932
O -5.2931 -2.7902 2.5596
O -5.9215 0.3510 3.6699
O -4.0084 -1.8156 -4.1035
O -4.1880 1.0836 1.8824
O -5.7419 -2.5482 -2.3161
O -5.8094 2.7281 2.9709
O -4.1206 -4.1927 -3.4045
O -4.2315 4.6858 2.3806
O -5.6985 -6.1503 -2.8142
O -1.3388 -1.2217 -0.7219
O -8.5912 -0.2429 0.2882
O -6.0714 3.8595 0.7925
O -3.8585 -5.3241 -1.2261
O -6.6741 4.2196 -1.6195
O -3.2558 -5.6842 1.1859
O -8.2905 -2.0288 2.5879
O -1.6394 0.5642 -3.0215
```

Magnetization (μB per atom): 0.000
SG: P-1
Calculated total energy (eV per atom): -7.27
Theoretical density (g/cm3): 3.2

=====

4.
YAg2W: relaxed, GGA-PBE.

The structure in extended XYZ format:
```
4
Lattice="-6.0433 4.5500 -7.1381 -8.1539 3.0762 -5.6769 -7.2765 5.7375 -4.7233" Properties=species:S:1:pos:R:3 pbc="T T T"
Ag -21.3611 13.2937 -17.4462
Ag -10.8495 6.7520 -8.8611
W -5.3684 3.3409 -4.3845
Y -16.1053 10.0228 -13.1536
```

Magnetization (μB per atom): 0.000
SG: R-3m
Formation energy from the elements (eV/atom): 0.585
Offset from the most stable computed form (eV/f.u.): 0.916
Theoretical density (g/cm3): 10.4

=====

5.
Ba2MgOsN4: relaxed, GGA-PBE.

The structure in extended XYZ format:
```
16
Lattice="-4.0559 -2.8206 1.7182 -3.2489 -3.0611 -4.7329 3.9422 -9.3597 1.9023" Properties=species:S:1:pos:R:3 pbc="T T T"
Ba 1.8190 -6.5326 1.5313
Ba -1.9328 -5.6476 2.0892
Ba -0.5721 -11.1529 0.2443
Ba -4.8184 -5.4988 -0.4977
Mg -2.6953 -8.3258 -0.1267
Mg 0.0000 0.0000 0.0000
Os -0.6673 -6.9155 -0.9858
Os -2.0280 -1.4103 0.8591
N -3.5977 -4.1784 -3.0642
N 2.0870 -9.7752 1.1673
N -2.5278 -13.4672 -0.5557
N -2.6866 -3.0621 0.2278
N -2.3464 -7.2086 -1.7954
N -0.8401 -7.9103 0.6084
N -3.5300 -10.1001 -0.6834
N -0.0086 -5.2638 -0.3544
```

Magnetization (μB per atom): 0.000
SG: Fddd
Theoretical density (g/cm3): 5.8
Uncorrected formation energy (eV per atom): -0.196

=====

6.
La3PmH: relaxed, GGA-PBE.

The structure in extended XYZ format:
```
5
Lattice="-2.3398 -3.2149 3.4431 1.7524 -4.1626 -2.6958 4.3726 -0.0521 2.9228" Properties=species:S:1:pos:R:3 pbc="T T T"
H 0.0000 0.0000 0.0000
La 0.8762 -2.0813 -1.3479
La 2.1863 -0.0261 1.4614
La -1.1699 -1.6075 1.7216
Pm 1.8926 -3.7148 1.8350
```

Magnetization (μB per atom): 0.000
SG: Pm-3m
Calculated total energy (eV per atom): -4.75
Theoretical density (g/cm3): 6.4

=====

7.
TbSm2Pb2: relaxed, GGA-PBE.

The structure in extended XYZ format:
```
20
Lattice="-6.5444 -2.5493 1.5157 3.6725 -7.4320 3.3569 0.4281 4.3499 9.1621" Properties=species:S:1:pos:R:3 pbc="T T T"
Tb 0.0283 -1.9856 5.3121
Tb -2.4721 -3.6458 8.7226
Tb -4.4096 -0.9012 5.0044
Tb 1.9658 -4.7302 9.0303
Sm -2.3161 -2.7337 2.4335
Sm 0.9577 -1.4623 1.6771
Sm -3.4015 -4.1691 12.3576
Sm -0.1277 -2.8977 11.6012
Sm 2.8888 -4.1929 5.4235
Sm -0.3819 -5.4705 6.1827
Sm -2.0619 -0.1609 7.8520
Sm -5.3326 -1.4385 8.6112
Pb -1.3966 -8.4388 5.3306
Pb 0.4533 -4.2859 3.2727
Pb -2.8971 -1.3455 10.7620
Pb -1.0472 2.8073 8.7041
Pb -3.1851 -3.6162 5.7081
Pb -1.2299 0.3235 3.7464
Pb -1.2139 -5.9549 10.2882
Pb 0.7413 -2.0152 8.3266
```

Magnetization (μB per atom): 0.000
SG: P2_1/c
Formation energy from the elements (eV/atom): -0.385
Theoretical density (g/cm3): 8.9

=====

8.
EuMgGe: relaxed, GGA-PBE.

The structure in extended XYZ format:
```
12
Lattice="4.5305 0.0000 0.0000 0.0000 7.6329 0.0000 0.0000 0.0000 8.5200" Properties=species:S:1:pos:R:3 pbc="T T T"
Eu 1.1326 7.4949 5.8145
Eu 1.1326 3.6784 6.9655
Eu 3.3979 3.9545 1.5545
Eu 3.3979 0.1380 2.7055
Mg 3.3979 4.9251 4.7957
Mg 3.3979 1.1087 7.9842
Mg 1.1326 6.5242 0.5357
Mg 1.1326 2.7078 3.7243
Ge 3.3979 2.0901 5.2286
Ge 3.3979 5.9065 7.5513
Ge 1.1326 1.7264 0.9686
Ge 1.1326 5.5428 3.2913
```

Magnetization (μB per atom): 2.336
SG: Pnma
Formation energy from the elements (eV/atom): -0.580
Theoretical density (g/cm3): 5.6

=====

9.
Nd8SmSn6: relaxed, GGA-PBE.

The structure in extended XYZ format:
```
15
Lattice="-2.3304 9.0385 0.7678 -9.0021 2.5608 -0.3466 -4.2217 3.1939 6.7090" Properties=species:S:1:pos:R:3 pbc="T T T"
Nd -4.6995 6.6595 2.4404
Nd -5.6314 9.4179 5.1745
Nd -7.0965 4.2578 4.5471
Nd -7.5552 7.7325 0.2839
Nd -7.9989 7.0607 6.8463
Nd -8.4577 10.5354 2.5831
Nd -9.9227 5.3753 1.9557
Nd -10.8546 8.1337 4.6898
Sm 0.0000 0.0000 0.0000
Sn -4.9049 6.3238 5.6340
Sn -5.4026 9.7496 1.9821
Sn -6.8827 4.5713 1.3518
Sn -8.6714 10.2219 5.7784
Sn -10.1515 5.0436 5.1481
Sn -10.6492 8.4694 1.4962
```

Magnetization (μB per atom): 0.000
SG: R-3
Formation energy from the elements (eV/atom): -0.571
Theoretical density (g/cm3): 6.7

=====

10.
KMnCoCl5: relaxed, GGA-PBE.

The structure in extended XYZ format:
```
16
Lattice="7.2211 0.0657 0.0183 -2.0451 6.9258 0.0183 -2.1372 -2.8868 8.4789" Properties=species:S:1:pos:R:3 pbc="T T T"
K 0.5905 3.8573 2.1380
K 2.4483 0.2474 6.3775
Mn -1.0686 -1.4434 4.2394
Mn 0.0000 0.0000 0.0000
Co 3.7771 1.4982 2.1380
Co -0.7383 2.6065 6.3775
Cl -1.9303 5.7235 2.1380
Cl 4.9692 -1.6188 6.3775
Cl 5.6739 1.9145 0.9573
Cl -2.6351 2.1902 7.5581
Cl 3.9326 -0.4376 3.3187
Cl -0.8938 4.5423 5.1968
Cl 3.2861 3.0851 3.6951
Cl -0.2473 1.0196 4.8204
Cl 2.1160 1.5045 0.5809
Cl 0.9228 2.6002 7.9345
```

Magnetization (μB per atom): 0.990
SG: C2/c
Theoretical density (g/cm3): 2.6
Uncorrected formation energy (eV per atom): -1.103

=====

11.
Ca3Sb4Rh8: relaxed, GGA-PBE.

The structure in extended XYZ format:
```
30
Lattice="7.9789 0.0000 4.6066 2.6596 7.5225 4.6066 0.0000 0.0000 9.2132" Properties=species:S:1:pos:R:3 pbc="T T T"
Ca 7.7316 5.4671 9.2132
Ca 2.9068 2.0554 9.2132
Ca 6.5254 2.0554 7.1240
Ca 4.1130 5.4671 11.3024
Ca 6.5254 2.0554 11.3024
Ca 4.1130 5.4671 7.1240
Sb 0.0000 0.0000 0.0000
Sb 5.3192 3.7613 4.6066
Sb 0.0000 0.0000 4.6066
Sb 3.9894 0.0000 2.3033
Sb 1.3298 3.7613 6.9099
Sb 3.9894 0.0000 6.9099
Sb 1.3298 3.7613 2.3033
Sb 5.3192 3.7613 9.2132
Rh 5.4276 0.9020 4.6066
Rh 5.2109 6.6205 13.8198
Rh 1.2756 0.9020 7.0037
Rh 1.2756 0.9020 2.2095
Rh 9.3628 6.6205 11.4227
Rh 9.3628 6.6205 16.2169
Rh 2.6596 4.8165 4.6066
Rh 7.9788 2.7061 13.8198
Rh 0.9583 2.4822 4.6066
Rh 9.6802 5.0404 13.8198
Rh 3.5103 2.4822 3.1332
Rh 3.5103 2.4822 6.0800
Rh 7.1282 5.0404 15.2932
Rh 7.1282 5.0404 12.3464
Rh 2.6596 0.0761 4.6066
Rh 7.9789 7.4465 13.8198
```

Magnetization (μB per atom): 0.000
SG: Fm-3m
Theoretical density (g/cm3): 8.6
Uncorrected formation energy (eV per atom): -0.557

=====

12.
BePS4: relaxed, GGA-PBE.

The structure in extended XYZ format:
```
12
Lattice="3.1742 0.0000 0.0000 0.0000 5.4665 0.0882 0.0000 -0.0160 13.6996" Properties=species:S:1:pos:R:3 pbc="T T T"
Be 0.0000 -0.0080 6.8498
Be 1.5871 2.7332 0.0441
P 1.5871 2.7252 6.8939
P 0.0000 0.0000 0.0000
S 1.5870 0.9755 5.5437
S 3.1740 1.7497 1.3501
S 1.5872 4.4749 8.2440
S 0.0001 3.7007 12.4376
S 0.0000 3.6458 5.5655
S 1.5871 4.5458 1.4165
S 3.1741 1.8046 8.2222
S 1.5871 0.9046 12.3712
```

Magnetization (μB per atom): 0.000
SG: C2/m
Theoretical density (g/cm3): 2.4
Uncorrected formation energy (eV per atom): -0.083

=====

13.
HfTl2As2O6: relaxed, GGA-PBE.

The structure in extended XYZ format:
```
11
Lattice="5.7622 0.0000 0.0000 -2.8811 4.7502 0.1391 0.0000 -2.2860 7.1081" Properties=species:S:1:pos:R:3 pbc="T T T"
Hf 2.8811 -1.1430 3.5541
Tl 2.8811 1.9049 1.4439
Tl 0.0000 0.5592 5.8034
As 2.8811 2.0294 5.4707
As 0.0000 0.4347 1.7765
O 2.8811 0.8688 4.1025
O 1.3695 -0.6795 2.1697
O -1.5116 3.1437 5.0776
O 1.5116 3.1437 5.0776
O 4.3927 -0.6795 2.1697
O 0.0000 1.5954 3.1447
```

Magnetization (μB per atom): 0.000
SG: C2/m
Theoretical density (g/cm3): 7.0
Uncorrected formation energy (eV per atom): -1.715

=====

14.
InSF3: relaxed, GGA-PBE.

The structure in extended XYZ format:
```
5
Lattice="-2.6166 3.3008 -0.8443 -1.1156 -1.8360 -3.7201 -3.2192 -2.0466 1.9755" Properties=species:S:1:pos:R:3 pbc="T T T"
S -3.4757 -0.2909 -1.2944
F -0.5578 -0.9180 -1.8600
F -1.6096 -1.0233 0.9878
F -1.3083 1.6504 -0.4222
In 0.0000 0.0000 0.0000
```

Magnetization (μB per atom): 0.401
SG: Pm-3m
Offset from the most stable computed form (eV/f.u.): 0.000
Theoretical density (g/cm3): 4.3
Uncorrected formation energy (eV per atom): -1.329

=====

15.
TmScTcPt: relaxed, GGA-PBE.

The structure in extended XYZ format:
```
4
Lattice="-4.4287 -0.9748 -1.2476 -1.9152 -4.1348 1.1641 -3.3763 -0.1907 3.2687" Properties=species:S:1:pos:R:3 pbc="T T T"
Sc -7.2901 -3.9752 2.3889
Tm -2.4300 -1.3251 0.7963
Tc -4.8601 -2.6502 1.5926
Pt 0.0000 0.0000 0.0000
```

Magnetization (μB per atom): 0.000
SG: F-43m
Formation energy from the elements (eV/atom): -0.678
Theoretical density (g/cm3): 11.4

=====

16.
Nd5ReN8: relaxed, GGA-PBE.

The structure in extended XYZ format:
```
14
Lattice="-1.8099 6.4831 -2.1198 -4.8277 -4.2242 2.9412 5.1718 2.7300 3.9497" Properties=species:S:1:pos:R:3 pbc="T T T"
Nd -2.1961 4.9347 -0.5822
Nd -4.5029 2.8502 0.8906
Nd -1.9410 4.1769 2.7646
Nd 1.6809 4.6066 0.9149
Nd -1.2733 1.7692 0.3996
Re 1.0126 1.5562 3.9029
N 0.7329 0.2425 5.1860
N 2.7997 2.0625 3.9151
N -0.6110 3.9662 0.8636
N 2.2137 5.4715 3.0676
N -2.7541 2.0535 2.2071
N -0.0520 3.0299 4.2840
N 0.5697 0.8898 2.2265
N -1.7801 -1.5133 3.4037
```

Magnetization (μB per atom): 0.141
SG: I-4
Theoretical density (g/cm3): 6.8
Uncorrected formation energy (eV per atom): -0.712

=====

17.
Th2ZrZnN5: relaxed, GGA-PBE.

The structure in extended XYZ format:
```
18
Lattice="3.4342 0.0000 0.0000 -1.7171 6.9224 0.0000 0.0000 0.0000 10.3644" Properties=species:S:1:pos:R:3 pbc="T T T"
Th 1.7171 5.1257 8.2628
Th 0.0000 1.5910 7.1132
Th 0.0000 1.7966 3.0806
Th 1.7171 5.3314 1.9310
Zr 1.7171 4.1232 5.1898
Zr 0.0000 2.7992 0.0076
Zn 1.7171 0.2432 10.1192
Zn 0.0000 6.6792 4.9370
N 0.0000 4.9614 0.0705
N 1.7171 2.6871 8.8948
N 0.0000 6.8841 8.0894
N 0.0000 4.0133 6.7631
N 1.7171 6.2328 5.8590
N 1.7171 1.9610 5.2527
N 0.0000 4.2353 3.7126
N 1.7171 0.0383 2.9072
N 1.7171 2.9091 1.5809
N 0.0000 0.6896 0.6768
```

Magnetization (μB per atom): 0.000
SG: Cmc2_1
Theoretical density (g/cm3): 9.3
Uncorrected formation energy (eV per atom): -1.078

=====

18.
KMn2Pt: relaxed, GGA-PBE.

The structure in extended XYZ format:
```
4
Lattice="-7.7361 -6.9504 1.1673 -6.1798 -8.3993 -0.8840 -5.4878 -8.6895 1.9737" Properties=species:S:1:pos:R:3 pbc="T T T"
K -14.5528 -18.0294 1.6928
Mn -19.0998 -23.6626 2.2217
Mn -10.0059 -12.3962 1.1639
Pt -4.8509 -6.0098 0.5643
```

Magnetization (μB per atom): 1.925
SG: R-3m
Formation energy from the elements (eV/atom): 0.581
Offset from the most stable computed form (eV/f.u.): 0.933
Theoretical density (g/cm3): 7.3

=====

19.
K2Ge2BiO6: relaxed, GGA-PBE.

The structure in extended XYZ format:
```
11
Lattice="6.0887 0.0000 0.0000 -3.0443 5.1792 -0.2481 0.0000 -3.2511 6.1748" Properties=species:S:1:pos:R:3 pbc="T T T"
K 3.0443 1.5630 0.9674
K 0.0000 0.3652 4.9593
Ge 3.0443 2.1077 4.6430
Ge 0.0000 -0.1795 1.2837
Bi 3.0443 -1.6255 3.0874
O 3.0443 0.6039 3.7573
O -1.5629 4.0380 1.1778
O 1.4815 -2.1098 4.7489
O 4.6072 -2.1098 4.7489
O 1.5629 4.0380 1.1778
O 0.0000 1.3242 2.1694
```

Magnetization (μB per atom): 0.000
SG: C2/m
Theoretical density (g/cm3): 4.6
Uncorrected formation energy (eV per atom): -1.483

=====

20.
Pd2Pt4Au: relaxed, GGA-PBE.

The structure in extended XYZ format:
```
7
Lattice="3.6454 0.0000 0.0000 0.0000 3.6454 0.0000 -1.8227 -1.8227 9.2357" Properties=species:S:1:pos:R:3 pbc="T T T"
Pd 1.8227 1.8227 1.4215
Pd 0.0000 0.0000 7.8142
Pt 0.0000 0.0000 2.6426
Pt 1.8227 1.8227 6.5932
Pt 1.8227 0.0000 4.6179
Pt 0.0000 1.8227 4.6179
Au 0.0000 0.0000 0.0000
```

Magnetization (μB per atom): 0.000
SG: I4/mmm
Formation energy from the elements (eV/atom): 0.282
Offset from the most stable computed form (eV/f.u.): 2.048
Theoretical density (g/cm3): 16.1